<i>
Density functional theory data (SCAN) for Sr3Ru2O7 at its PBEsol-relaxed geometry.

The calculation puts the calculated volume at 154.37 Å³/f.u. As for the symmetry: I4/mmm, No. 139. The calculation puts the density of states at the Fermi level at 2.5 states/eV per cell.

Cell lengths 3.8976, 3.8976, 10.5288 Å; angles 100.67, 100.67, 90.00 degrees
Last column: nearest neighbours and their distance in Å.
Fractional positions:
1 O 0.1962 0.1962 0.3923  1 Ru 2.00
2 Ru 0.9021 0.9021 0.8042  6 O 1.95-2.00
3 O 0.0968 0.5968 0.1936  2 Ru 1.95
4 Sr 0.5000 0.5000 0.0000  12 O 2.76-2.77
5 O 0.8038 0.8038 0.6077  1 Ru 2.00
6 Sr 0.6847 0.6847 0.3693  5 O 2.42-2.64
7 O 0.0000 0.0000 0.0000  2 Ru 1.99
8 Ru 0.0979 0.0979 0.1958  6 O 1.95-2.00
9 O 0.9032 0.4032 0.8064  2 Ru 1.95
10 Sr 0.3153 0.3153 0.6307  5 O 2.42-2.64
11 O 0.5968 0.0968 0.1936  2 Ru 1.95
12 O 0.4032 0.9032 0.8064  2 Ru 1.95

<ii>
Density functional theory data (SCAN) for Sr3Ru2O7 at its PBEsol-relaxed geometry.

The calculation puts the calculated volume at 154.68 Å³/f.u. As for the symmetry: Ccce, No. 68. The calculation puts the density of states at the Fermi level at 5.5 states/eV per cell.

Cell lengths 5.4811, 5.4805, 10.6567 Å; angles 90.00, 104.90, 90.00 degrees
Last column: nearest neighbours and their distance in Å.
Fractional positions:
1 Ru 0.0970 0.5000 0.1940  6 O 1.96-2.01
2 O 0.6946 0.0000 0.3892  1 Ru 2.01
3 O 0.3054 0.0000 0.6108  1 Ru 2.01
4 O 0.8857 0.7896 0.1923  2 Ru 1.96
5 O 0.8066 0.2896 0.1923  2 Ru 1.96
6 Sr 0.8136 0.0000 0.6273  7 O 2.45-2.75
7 Sr 0.5000 0.5000 0.0000  8 O 2.57-2.74
8 O 0.0000 0.5000 0.0000  2 Ru 2.00
9 O 0.1934 0.2896 0.8077  2 Ru 1.96
10 O 0.8054 0.5000 0.6108  1 Ru 2.01
11 Ru 0.9030 0.5000 0.8060  6 O 1.96-2.01
12 O 0.3066 0.2104 0.1923  2 Ru 1.96
13 O 0.6934 0.2104 0.8077  2 Ru 1.96
14 Ru 0.4030 0.0000 0.8060  6 O 1.96-2.01
15 O 0.1946 0.5000 0.3892  1 Ru 2.01
16 O 0.3857 0.7104 0.1923  2 Ru 1.96
17 Sr 0.1864 0.0000 0.3727  7 O 2.45-2.75
18 O 0.1143 0.7896 0.8077  2 Ru 1.96
19 Sr 0.3136 0.5000 0.6273  7 O 2.45-2.75
20 Sr 0.6864 0.5000 0.3727  7 O 2.45-2.75
21 Sr 0.0000 0.0000 0.0000  8 O 2.57-2.74
22 O 0.6143 0.7104 0.8077  2 Ru 1.96
23 O 0.5000 0.0000 0.0000  2 Ru 2.00
24 Ru 0.5970 0.0000 0.1940  6 O 1.96-2.01

Q: What are the energies relative to the best structure? A: <i> 0.6; <ii> 0.0, in kJ/mol of atoms.